(one)
A plane-wave DFT calculation with PBE was carried out for a relaxed structure of BaLi4Mg2.

The space group is I4/mmm (No. 139) and the conventional cell measures 7.685, 7.685 and 7.311 Å, with angles of 90.00, 90.00 and 90.00 degrees. The asymmetric unit holds Ba at (0.000, 0.000, 0.000), Li at (0.000, 0.236, 0.500) and Mg at (0.000, 0.500, 0.250).

For the total magnetic moment, the calculation gives 0.0 Bohr magnetons per cell.


(two)
A plane-wave DFT calculation with PBE was carried out for a relaxed structure of BaLi4Mg2.

The space group is I4/mmm (No. 139) and the conventional cell measures 7.719, 7.719 and 6.165 Å, with angles of 90.00, 90.00 and 90.00 degrees. The asymmetric unit holds Ba at (0.000, 0.000, 0.000), Li at (0.188, 0.188, 0.500) and Mg at (0.000, 0.500, 0.250).

For the total magnetic moment, the calculation gives 0.0 Bohr magnetons per cell.


Relative energy of each structure, in meV/atom: (one) 249; (two) 0.


(one)
A plane-wave DFT calculation with PBE was carried out for a relaxed structure of Ba2LiMgNi.

The space group is P4/mmm (No. 123) and the conventional cell measures 6.032, 6.032 and 4.946 Å, with angles of 90.00, 90.00 and 90.00 degrees. The asymmetric unit holds Ba at (0.000, 0.500, 0.000), Li at (0.000, 0.000, 0.500), Mg at (0.500, 0.500, 0.500) and Ni at (0.000, 0.000, 0.000).

For the total magnetic moment, the calculation gives 0.0 Bohr magnetons per cell.


(two)
A plane-wave DFT calculation with PBE was carried out for a relaxed structure of Ba2LiMgNi.

The space group is P4/mmm (No. 123) and the conventional cell measures 6.008, 6.008 and 5.116 Å, with angles of 90.00, 90.00 and 90.00 degrees. The asymmetric unit holds Ba at (0.000, 0.500, 0.000), Li at (0.000, 0.000, 0.500), Mg at (0.500, 0.500, 0.500) and Ni at (0.500, 0.500, 0.000).

For the total magnetic moment, the calculation gives 0.0 Bohr magnetons per cell.


Relative energy of each structure, in meV/atom: (one) 77; (two) 0.


(one)
A plane-wave DFT calculation with PBE was carried out for a relaxed structure of BaLiMg2Ni.

The space group is P4/mmm (No. 123) and the conventional cell measures 5.010, 5.010 and 5.234 Å, with angles of 90.00, 90.00 and 90.00 degrees. The asymmetric unit holds Ba at (0.000, 0.000, 0.000), Li at (0.500, 0.500, 0.000), Mg at (0.000, 0.500, 0.500) and Ni at (0.500, 0.500, 0.500).

For the total magnetic moment, the calculation gives 0.0 Bohr magnetons per cell.


(two)
A plane-wave DFT calculation with PBE was carried out for a relaxed structure of BaLiMg2Ni.

The space group is P4/mmm (No. 123) and the conventional cell measures 6.094, 6.094 and 5.490 Å, with angles of 90.00, 90.00 and 90.00 degrees. The asymmetric unit holds Ba at (0.000, 0.000, 0.000), Li at (0.000, 0.000, 0.500), Mg at (0.000, 0.500, 0.000) and Ni at (0.500, 0.500, 0.500).

For the total magnetic moment, the calculation gives 0.8 Bohr magnetons per cell.


Relative energy of each structure, in meV/atom: (one) 0; (two) 1627.


(one)
A plane-wave DFT calculation with PBE was carried out for a relaxed structure of Ba2LiMgPt.

The space group is P4/mmm (No. 123) and the conventional cell measures 6.187, 6.187 and 5.210 Å, with angles of 90.00, 90.00 and 90.00 degrees. The asymmetric unit holds Ba at (0.000, 0.500, 0.000), Li at (0.000, 0.000, 0.500), Mg at (0.500, 0.500, 0.500) and Pt at (0.500, 0.500, 0.000).

For the total magnetic moment, the calculation gives 0.0 Bohr magnetons per cell.


(two)
A plane-wave DFT calculation with PBE was carried out for a relaxed structure of Ba2LiMgPt.

The space group is P4/mmm (No. 123) and the conventional cell measures 6.181, 6.181 and 5.000 Å, with angles of 90.00, 90.00 and 90.00 degrees. The asymmetric unit holds Ba at (0.000, 0.500, 0.000), Li at (0.000, 0.000, 0.500), Mg at (0.500, 0.500, 0.500) and Pt at (0.000, 0.000, 0.000).

For the total magnetic moment, the calculation gives 0.0 Bohr magnetons per cell.


Relative energy of each structure, in meV/atom: (one) 0; (two) 66.


(one)
A plane-wave DFT calculation with PBE was carried out for a relaxed structure of Ba2LiMgS.

The space group is P4/mmm (No. 123) and the conventional cell measures 6.232, 6.232 and 5.057 Å, with angles of 90.00, 90.00 and 90.00 degrees. The asymmetric unit holds Ba at (0.000, 0.500, 0.000), Li at (0.000, 0.000, 0.500), Mg at (0.500, 0.500, 0.500) and S at (0.500, 0.500, 0.000).

For the total magnetic moment, the calculation gives 0.0 Bohr magnetons per cell.


(two)
A plane-wave DFT calculation with PBE was carried out for a relaxed structure of Ba2LiMgS.

The space group is P4/mmm (No. 123) and the conventional cell measures 6.311, 6.311 and 4.665 Å, with angles of 90.00, 90.00 and 90.00 degrees. The asymmetric unit holds Ba at (0.000, 0.500, 0.000), Li at (0.000, 0.000, 0.500), Mg at (0.500, 0.500, 0.500) and S at (0.000, 0.000, 0.000).

For the total magnetic moment, the calculation gives 0.4 Bohr magnetons per cell.


Relative energy of each structure, in meV/atom: (one) 176; (two) 0.


(one)
A plane-wave DFT calculation with PBE was carried out for a relaxed structure of BaSrLiMg2.

The space group is P4/mmm (No. 123) and the conventional cell measures 5.571, 5.571 and 5.721 Å, with angles of 90.00, 90.00 and 90.00 degrees. The asymmetric unit holds Ba at (0.000, 0.000, 0.000), Sr at (0.500, 0.500, 0.000), Li at (0.500, 0.500, 0.500) and Mg at (0.000, 0.500, 0.500).

For the total magnetic moment, the calculation gives 0.0 Bohr magnetons per cell.


(two)
A plane-wave DFT calculation with PBE was carried out for a relaxed structure of BaSrLiMg2.

The space group is P4/mmm (No. 123) and the conventional cell measures 5.605, 5.605 and 5.731 Å, with angles of 90.00, 90.00 and 90.00 degrees. The asymmetric unit holds Ba at (0.000, 0.000, 0.000), Sr at (0.500, 0.500, 0.000), Li at (0.000, 0.000, 0.500) and Mg at (0.000, 0.500, 0.500).

For the total magnetic moment, the calculation gives 0.0 Bohr magnetons per cell.


Relative energy of each structure, in meV/atom: (one) 0; (two) 51.